Entry 1:
A relaxed Cd3Re crystal. Source: Alexandria via LeMat-Bulk, functional PBE.

- crystal system = cubic
- formation enthalpy at 0 K (eV per atom) = 0.760
- VASP energy (eV per atom) = -3.038
- magnetization (μB per cell) = 0.62
- energy relative to the lowest polymorph listed for this composition (meV/atom) = 369

Lattice parameters (Å, degrees): 4.7646 4.7646 4.7646 60.00 60.00 60.00
Fractional positions:
Cd (0.5000, 0.5000, 0.5000)
Cd (0.0000, 0.0000, 0.0000)
Cd (0.7500, 0.7500, 0.7500)
Re (0.2500, 0.2500, 0.2500)

=====

Entry 2:
A relaxed CdRe crystal. Source: Alexandria via LeMat-Bulk, functional PBE.

- crystal system = tetragonal
- formation enthalpy at 0 K (eV per atom) = 1.513
- VASP energy (eV per atom) = -5.169
- magnetization (μB per cell) = 1.29
- energy relative to the lowest polymorph listed for this composition (meV/atom) = 1287

Lattice parameters (Å, degrees): 5.5067 5.5067 5.5251 90.00 90.00 90.00
Fractional positions:
Re (0.6476, 0.6476, 0.0000)
Re (0.1476, 0.8524, 0.5000)
Re (0.3524, 0.3524, 0.0000)
Re (0.8524, 0.1476, 0.5000)
Cd (0.6764, 0.6764, 0.5000)
Cd (0.1764, 0.8236, 0.0000)
Cd (0.8236, 0.1764, 0.0000)
Cd (0.3236, 0.3236, 0.5000)

=====

Entry 3:
A relaxed Cd3Re crystal. Source: Alexandria via LeMat-Bulk, functional PBE.

- crystal system = tetragonal
- formation enthalpy at 0 K (eV per atom) = 0.516
- VASP energy (eV per atom) = -3.282
- magnetization (μB per cell) = 0.91
- energy relative to the lowest polymorph listed for this composition (meV/atom) = 126

Lattice parameters (Å, degrees): 2.9057 2.9057 9.2168 90.00 90.00 90.00
Fractional positions:
Cd (0.5000, 0.5000, 0.2500)
Cd (0.0000, 0.0000, 0.5199)
Cd (0.0000, 0.0000, 0.9801)
Re (0.5000, 0.5000, 0.7500)

=====

Entry 4:
A relaxed Cd2Re crystal. Source: Alexandria via LeMat-Bulk, functional PBE.

- crystal system = orthorhombic
- formation enthalpy at 0 K (eV per atom) = 0.737
- VASP energy (eV per atom) = -4.023
- magnetization (μB per cell) = 0.00
- energy relative to the lowest polymorph listed for this composition (meV/atom) = 318

Lattice parameters (Å, degrees): 8.1623 8.1623 4.9364 90.00 90.00 160.43
Fractional positions:
Cd (0.0531, 0.9469, 0.7500)
Cd (0.2796, 0.7204, 0.2500)
Cd (0.7204, 0.2796, 0.7500)
Cd (0.9469, 0.0531, 0.2500)
Re (0.6158, 0.3842, 0.2500)
Re (0.3842, 0.6158, 0.7500)

=====

Entry 5:
A relaxed CdRe2 crystal. Source: Alexandria via LeMat-Bulk, functional PBE.

- crystal system = orthorhombic
- formation enthalpy at 0 K (eV per atom) = 0.565
- VASP energy (eV per atom) = -8.038
- magnetization (μB per cell) = 0.00
- energy relative to the lowest polymorph listed for this composition (meV/atom) = 305

Lattice parameters (Å, degrees): 5.6501 4.1693 8.6545 90.00 90.00 90.00
Fractional positions:
Re (0.4187, 0.7500, 0.7917)
Re (0.6102, 0.2500, 0.9103)
Re (0.8898, 0.7500, 0.4103)
Re (0.5813, 0.2500, 0.2083)
Re (0.9187, 0.7500, 0.7083)
Re (0.3898, 0.7500, 0.0897)
Re (0.1102, 0.2500, 0.5897)
Re (0.0813, 0.2500, 0.2917)
Cd (0.6114, 0.2500, 0.5799)
Cd (0.3886, 0.7500, 0.4201)
Cd (0.8886, 0.7500, 0.0799)
Cd (0.1114, 0.2500, 0.9201)

=====

Entry 6:
A relaxed CdRe3 crystal. Source: Alexandria via LeMat-Bulk, functional PBE.

- crystal system = tetragonal
- formation enthalpy at 0 K (eV per atom) = 0.355
- VASP energy (eV per atom) = -9.210
- magnetization (μB per cell) = 0.00
- energy relative to the lowest polymorph listed for this composition (meV/atom) = 82

Lattice parameters (Å, degrees): 2.8176 2.8176 8.1601 90.00 90.00 90.00
Fractional positions:
Re (0.5000, 0.5000, 0.7261)
Re (0.5000, 0.5000, 0.2739)
Re (0.0000, 0.0000, 0.5000)
Cd (0.0000, 0.0000, 0.0000)